[1]
The following is a GGA-PBE calculation of a geometry-optimized Rb2GaGe2 structure, from Alexandria.

POSCAR file:
```
Rb2GaGe2
1.0
10.506 0.000 0.000
0.000 10.506 0.000
0.000 0.000 3.158
Rb Ga Ge
4 2 4
Direct
0.211 0.289 0.000 Rb
0.289 0.789 0.000 Rb
0.711 0.211 0.000 Rb
0.789 0.711 0.000 Rb
0.000 0.000 0.000 Ga
0.500 0.500 0.000 Ga
0.081 0.581 0.500 Ge
0.419 0.081 0.500 Ge
0.581 0.919 0.500 Ge
0.919 0.419 0.500 Ge
```

- space group = P4/mbm (127)
- magnetization (Bohr magnetons per cell) = 0.00
- density of states at the Fermi level (states/eV/cell) = 7.21
- DFT total energy (eV/atom) = -2.523
- calculated volume (A^3/atom) = 34.862
- polymorph energy (0 for the lowest one) (meV/atom) = 339



[2]
The following is a GGA-PBE calculation of a geometry-optimized NdCd2Ag structure, from Alexandria.

POSCAR file:
```
NdCd2Ag
1.0
4.503 0.000 0.000
0.000 4.503 0.000
0.000 0.000 4.909
Nd Cd Ag
1 2 1
Direct
0.000 0.000 0.000 Nd
0.000 0.500 0.500 Cd
0.500 0.000 0.500 Cd
0.500 0.500 0.000 Ag
```

- space group = P4/mmm (123)
- magnetization (Bohr magnetons per cell) = 0.00
- density of states at the Fermi level (states/eV/cell) = 3.24
- DFT total energy (eV/atom) = -2.543
- calculated volume (A^3/atom) = 24.890



[3]
The following is a GGA-PBE calculation of a geometry-optimized Tm3Co7Si2 structure, from Alexandria.

POSCAR file:
```
Tm3Co7Si2
1.0
2.555 1.475 7.471
-2.555 1.475 7.471
0.000 -2.950 7.471
Tm Co Si
3 7 2
Direct
0.000 0.000 0.000 Tm
0.141 0.141 0.141 Tm
0.859 0.859 0.859 Tm
0.081 0.579 0.579 Co
0.421 0.421 0.919 Co
0.421 0.919 0.421 Co
0.500 0.500 0.500 Co
0.579 0.081 0.579 Co
0.579 0.579 0.081 Co
0.919 0.421 0.421 Co
0.333 0.333 0.333 Si
0.667 0.667 0.667 Si
```

- space group = R-3m (166)
- energy relative to the elements, uncorrected (eV per atom) = -0.489
- magnetization (Bohr magnetons per cell) = 2.88
- density of states at the Fermi level (states/eV/cell) = 10.67
- DFT total energy (eV/atom) = -6.656
- calculated volume (A^3/atom) = 14.081



[4]
The following is a GGA-PBE calculation of a geometry-optimized SnCS3 structure, from Alexandria.

POSCAR file:
```
SnCS3
1.0
4.961 0.000 0.000
0.000 4.961 0.000
0.000 0.000 4.961
Sn C S
1 1 3
Direct
0.000 0.000 0.000 Sn
0.500 0.500 0.500 C
0.000 0.000 0.500 S
0.000 0.500 0.000 S
0.500 0.000 0.000 S
```

- space group = Pm-3m (221)
- energy relative to the elements, uncorrected (eV per atom) = 1.947
- magnetization (Bohr magnetons per cell) = 0.00
- density of states at the Fermi level (states/eV/cell) = 9.77
- DFT total energy (eV/atom) = -3.175
- calculated volume (A^3/atom) = 24.426
- polymorph energy (0 for the lowest one) (meV/atom) = 1038



[5]
The following is a GGA-PBE calculation of a geometry-optimized TbTlPb2Cl8 structure, from Alexandria.

POSCAR file:
```
TbTlPb2Cl8
1.0
6.587 0.000 0.000
0.000 8.951 0.000
-0.099 0.000 6.872
Tb Tl Pb Cl
1 1 2 8
Direct
0.000 0.000 0.000 Tb
0.000 0.500 0.000 Tl
0.500 0.251 0.500 Pb
0.500 0.749 0.500 Pb
0.230 0.213 0.161 Cl
0.230 0.787 0.161 Cl
0.245 0.000 0.688 Cl
0.277 0.500 0.633 Cl
0.723 0.500 0.367 Cl
0.755 0.000 0.312 Cl
0.770 0.213 0.839 Cl
0.770 0.787 0.839 Cl
```

- space group = P2/m (10)
- energy relative to the elements, uncorrected (eV per atom) = -1.504
- magnetization (Bohr magnetons per cell) = 0.00
- density of states at the Fermi level (states/eV/cell) = 0.00
- DFT total energy (eV/atom) = -3.936
- calculated volume (A^3/atom) = 33.767



[6]
The following is a GGA-PBE calculation of a geometry-optimized PmZnNiSn structure, from Alexandria.

POSCAR file:
```
PmZnNiSn
1.0
0.000 3.390 3.390
3.390 0.000 3.390
3.390 3.390 0.000
Pm Zn Ni Sn
1 1 1 1
Direct
0.000 0.000 0.000 Pm
0.750 0.750 0.750 Zn
0.250 0.250 0.250 Ni
0.500 0.500 0.500 Sn
```

- space group = F-43m (216)
- magnetization (Bohr magnetons per cell) = 0.00
- density of states at the Fermi level (states/eV/cell) = 2.49
- DFT total energy (eV/atom) = -4.316
- calculated volume (A^3/atom) = 19.482



[7]
The following is a GGA-PBE calculation of a geometry-optimized KNb3Fe structure, from Alexandria.

POSCAR file:
```
KNb3Fe
1.0
4.552 0.000 0.000
0.000 4.552 0.000
0.000 0.000 4.552
K Nb Fe
1 3 1
Direct
0.000 0.000 0.000 K
0.000 0.000 0.500 Nb
0.000 0.500 0.000 Nb
0.500 0.000 0.000 Nb
0.500 0.500 0.500 Fe
```

- space group = Pm-3m (221)
- magnetization (Bohr magnetons per cell) = 0.00
- density of states at the Fermi level (states/eV/cell) = 5.77
- DFT total energy (eV/atom) = -4.985
- calculated volume (A^3/atom) = 18.861
- polymorph energy (0 for the lowest one) (meV/atom) = 1852



[8]
The following is a GGA-PBE calculation of a geometry-optimized TmCo3B3 structure, from Alexandria.

POSCAR file:
```
TmCo3B3
1.0
6.569 0.000 0.000
0.000 6.569 0.000
0.000 0.000 6.569
Tm Co B
4 12 12
Direct
0.053 0.447 0.553 Tm
0.447 0.553 0.053 Tm
0.553 0.053 0.447 Tm
0.947 0.947 0.947 Tm
0.104 0.604 0.896 Co
0.181 0.181 0.181 Co
0.208 0.792 0.292 Co
0.292 0.208 0.792 Co
0.319 0.819 0.681 Co
0.396 0.396 0.396 Co
0.604 0.896 0.104 Co
0.681 0.319 0.819 Co
0.708 0.708 0.708 Co
0.792 0.292 0.208 Co
0.819 0.681 0.319 Co
0.896 0.104 0.604 Co
0.009 0.827 0.555 B
0.055 0.491 0.173 B
0.173 0.055 0.491 B
0.327 0.945 0.991 B
0.445 0.509 0.673 B
0.491 0.173 0.055 B
0.509 0.673 0.445 B
0.555 0.009 0.827 B
0.673 0.445 0.509 B
0.827 0.555 0.009 B
0.945 0.991 0.327 B
0.991 0.327 0.945 B
```

- space group = P2_13 (198)
- magnetization (Bohr magnetons per cell) = 0.00
- density of states at the Fermi level (states/eV/cell) = 24.74
- DFT total energy (eV/atom) = -6.726
- calculated volume (A^3/atom) = 10.126
- polymorph energy (0 for the lowest one) (meV/atom) = 2



[9]
The following is a GGA-PBE calculation of a geometry-optimized AcNd4Ni4 structure, from Alexandria.

POSCAR file:
```
AcNd4Ni4
1.0
8.959 0.000 0.000
0.000 8.959 0.000
0.000 0.000 5.792
Ac Nd Ni
2 8 8
Direct
0.250 0.250 0.250 Ac
0.750 0.750 0.750 Ac
0.072 0.657 0.161 Nd
0.157 0.928 0.661 Nd
0.343 0.572 0.661 Nd
0.428 0.843 0.161 Nd
0.572 0.157 0.839 Nd
0.657 0.428 0.339 Nd
0.843 0.072 0.339 Nd
0.928 0.343 0.839 Nd
0.037 0.611 0.645 Ni
0.111 0.963 0.145 Ni
0.389 0.537 0.145 Ni
0.463 0.889 0.645 Ni
0.537 0.111 0.355 Ni
0.611 0.463 0.855 Ni
0.889 0.037 0.855 Ni
0.963 0.389 0.355 Ni
```

- space group = P4_2/n (86)
- magnetization (Bohr magnetons per cell) = 0.00
- density of states at the Fermi level (states/eV/cell) = 15.99
- DFT total energy (eV/atom) = -5.321
- calculated volume (A^3/atom) = 25.825



[10]
The following is a GGA-PBE calculation of a geometry-optimized GdZr2Sn structure, from Alexandria.

POSCAR file:
```
GdZr2Sn
1.0
4.611 0.000 0.000
0.000 4.611 0.000
0.000 0.000 4.519
Gd Zr Sn
1 2 1
Direct
0.000 0.000 0.000 Gd
0.000 0.500 0.500 Zr
0.500 0.000 0.500 Zr
0.500 0.500 0.000 Sn
```

- space group = P4/mmm (123)
- magnetization (Bohr magnetons per cell) = 7.52
- density of states at the Fermi level (states/eV/cell) = 4.30
- DFT total energy (eV/atom) = -9.098
- calculated volume (A^3/atom) = 24.019



[11]
The following is a GGA-PBE calculation of a geometry-optimized LaCeAsP structure, from Alexandria.

POSCAR file:
```
LaCeAsP
1.0
4.255 0.000 0.000
0.000 4.255 0.000
0.000 0.000 6.003
La Ce As P
1 1 1 1
Direct
0.000 0.000 0.000 La
0.500 0.500 0.500 Ce
0.500 0.500 0.000 As
0.000 0.000 0.500 P
```

- space group = P4/mmm (123)
- magnetization (Bohr magnetons per cell) = 0.75
- density of states at the Fermi level (states/eV/cell) = 6.27
- DFT total energy (eV/atom) = -6.716
- calculated volume (A^3/atom) = 27.172



[12]
The following is a GGA-PBE calculation of a geometry-optimized Nd2Tm5Pb4 structure, from Alexandria.

POSCAR file:
```
Nd2Tm5Pb4
1.0
12.303 -1.748 0.000
12.303 1.748 0.000
-0.781 0.000 7.880
Nd Tm Pb
2 5 4
Direct
0.225 0.225 0.304 Nd
0.775 0.775 0.696 Nd
0.087 0.087 0.233 Tm
0.169 0.169 0.888 Tm
0.500 0.500 0.500 Tm
0.831 0.831 0.112 Tm
0.913 0.913 0.767 Tm
0.040 0.040 0.850 Pb
0.361 0.361 0.452 Pb
0.639 0.639 0.548 Pb
0.960 0.960 0.150 Pb
```

- space group = C2/m (12)
- magnetization (Bohr magnetons per cell) = 0.00
- density of states at the Fermi level (states/eV/cell) = 11.11
- DFT total energy (eV/atom) = -4.378
- calculated volume (A^3/atom) = 30.818